# 1
First-principles (PBE) data for crystalline YZr2N3 at its relaxed geometry, as listed in OQMD.

Geometry as CIF:
```
data_YZr2N3
_chemical_formula_sum 'Y1 Zr2 N3'
_cell_length_a 3.308
_cell_length_b 3.308
_cell_length_c 8.143
_cell_angle_alpha 90.00
_cell_angle_beta 90.00
_cell_angle_gamma 120.00
_symmetry_space_group_name_H-M 'P 1'
_symmetry_Int_Tables_number 1
loop_
_symmetry_equiv_pos_as_xyz
'x,y,z'
loop_
_atom_site_label
_atom_site_fract_x
_atom_site_fract_y
_atom_site_fract_z
Y1 0.000 0.000 0.000
Zr1 0.333 0.667 0.339
Zr2 0.667 0.333 0.661
N1 0.000 0.000 0.500
N2 0.333 0.667 0.819
N3 0.667 0.333 0.181
```

Values from the calculation:
magnetization	0.004	μB/f.u.
E	-0.720	Ry per atom
crystal system	trigonal

***

# 2
First-principles (PBE) data for crystalline HfReAsO at its relaxed geometry, as listed in OQMD.

Geometry as CIF:
```
data_HfReAsO
_chemical_formula_sum 'Hf2 Re2 As2 O2'
_cell_length_a 4.098
_cell_length_b 4.098
_cell_length_c 6.874
_cell_angle_alpha 90.00
_cell_angle_beta 90.00
_cell_angle_gamma 90.00
_symmetry_space_group_name_H-M 'P 1'
_symmetry_Int_Tables_number 1
loop_
_symmetry_equiv_pos_as_xyz
'x,y,z'
loop_
_atom_site_label
_atom_site_fract_x
_atom_site_fract_y
_atom_site_fract_z
Hf1 0.250 0.250 0.129
Hf2 0.750 0.750 0.871
Re1 0.250 0.750 0.500
Re2 0.750 0.250 0.500
As1 0.250 0.250 0.700
As2 0.750 0.750 0.300
O1 0.250 0.750 0.000
O2 0.750 0.250 0.000
```

Values from the calculation:
distance to the lowest polymorph of the same formula	0	meV per atom
magnetization	0.001	μB/f.u.
crystal system	tetragonal

***

# 3
First-principles (PBE) data for crystalline Pa2AuS2 at its relaxed geometry, as listed in OQMD.

Geometry as CIF:
```
data_Pa2AuS2
_chemical_formula_sum 'Pa4 Au2 S4'
_cell_length_a 4.641
_cell_length_b 4.641
_cell_length_c 12.611
_cell_angle_alpha 90.00
_cell_angle_beta 90.00
_cell_angle_gamma 120.06
_symmetry_space_group_name_H-M 'P 1'
_symmetry_Int_Tables_number 1
loop_
_symmetry_equiv_pos_as_xyz
'x,y,z'
loop_
_atom_site_label
_atom_site_fract_x
_atom_site_fract_y
_atom_site_fract_z
Pa1 0.167 0.833 0.638
Pa2 0.167 0.833 0.862
Pa3 0.833 0.167 0.138
Pa4 0.833 0.167 0.362
Au1 0.500 0.500 0.250
Au2 0.500 0.500 0.750
S1 0.166 0.834 0.077
S2 0.166 0.834 0.423
S3 0.834 0.166 0.577
S4 0.834 0.166 0.923
```

Values from the calculation:
magnetization	0.007	μB/f.u.
E	-0.517	Ry per atom
crystal system	orthorhombic

***

# 4
First-principles (PBE) data for crystalline BaZnNi2 at its relaxed geometry, as listed in OQMD.

Geometry as CIF:
```
data_BaZnNi2
_chemical_formula_sum 'Ba4 Zn4 Ni8'
_cell_length_a 6.881
_cell_length_b 6.881
_cell_length_c 6.881
_cell_angle_alpha 90.00
_cell_angle_beta 90.00
_cell_angle_gamma 90.00
_symmetry_space_group_name_H-M 'P 1'
_symmetry_Int_Tables_number 1
loop_
_symmetry_equiv_pos_as_xyz
'x,y,z'
loop_
_atom_site_label
_atom_site_fract_x
_atom_site_fract_y
_atom_site_fract_z
Ba1 0.000 0.000 0.000
Ba2 0.000 0.500 0.500
Ba3 0.500 0.000 0.500
Ba4 0.500 0.500 0.000
Zn1 0.250 0.250 0.750
Zn2 0.250 0.750 0.250
Zn3 0.750 0.250 0.250
Zn4 0.750 0.750 0.750
Ni1 0.000 0.000 0.500
Ni2 0.000 0.500 0.000
Ni3 0.250 0.250 0.250
Ni4 0.250 0.750 0.750
Ni5 0.500 0.000 0.000
Ni6 0.500 0.500 0.500
Ni7 0.750 0.250 0.750
Ni8 0.750 0.750 0.250
```

Values from the calculation:
magnetization	0.466	μB/f.u.
E	-0.225	Ry per atom
crystal system	cubic

***

# 5
First-principles (PBE) data for crystalline Zr4BiPbC2 at its relaxed geometry, as listed in OQMD.

Geometry as CIF:
```
data_Zr4BiPbC2
_chemical_formula_sum 'Zr4 Bi1 Pb1 C2'
_cell_length_a 3.441
_cell_length_b 3.441
_cell_length_c 14.802
_cell_angle_alpha 90.00
_cell_angle_beta 90.00
_cell_angle_gamma 120.00
_symmetry_space_group_name_H-M 'P 1'
_symmetry_Int_Tables_number 1
loop_
_symmetry_equiv_pos_as_xyz
'x,y,z'
loop_
_atom_site_label
_atom_site_fract_x
_atom_site_fract_y
_atom_site_fract_z
Zr1 0.000 0.000 0.167
Zr2 0.000 0.000 0.833
Zr3 0.333 0.667 0.331
Zr4 0.333 0.667 0.669
Bi1 0.333 0.667 0.000
Pb1 0.000 0.000 0.500
C1 0.667 0.333 0.249
C2 0.667 0.333 0.751
```

Values from the calculation:
magnetization	0.001	μB/f.u.
E	-0.603	Ry per atom
crystal system	hexagonal

***

# 6
First-principles (PBE) data for crystalline GdErAl2Ir4 at its relaxed geometry, as listed in OQMD.

Geometry as CIF:
```
data_GdErAl2Ir4
_chemical_formula_sum 'Gd1 Er1 Al2 Ir4'
_cell_length_a 4.291
_cell_length_b 4.291
_cell_length_c 9.184
_cell_angle_alpha 90.00
_cell_angle_beta 90.00
_cell_angle_gamma 120.00
_symmetry_space_group_name_H-M 'P 1'
_symmetry_Int_Tables_number 1
loop_
_symmetry_equiv_pos_as_xyz
'x,y,z'
loop_
_atom_site_label
_atom_site_fract_x
_atom_site_fract_y
_atom_site_fract_z
Gd1 0.000 0.000 0.000
Er1 0.333 0.667 0.500
Al1 0.667 0.333 0.258
Al2 0.667 0.333 0.742
Ir1 0.000 0.000 0.344
Ir2 0.000 0.000 0.656
Ir3 0.333 0.667 0.175
Ir4 0.333 0.667 0.825
```

Values from the calculation:
magnetization	0.000	μB/f.u.
E	-0.531	Ry per atom
crystal system	hexagonal

***

no.,calculated volume (A^3/atom)
1,12.86
2,14.43
3,23.51
4,20.36
5,18.97
6,18.30